The following is a PBE calculation of a relaxed As2SO crystal, from Alexandria.

The calculation puts the volume at 14.586 Å³/atom. For the theoretical density, the calculation gives 5.6 Mg/m³. The calculation puts the uncorrected formation energy at 420 meV/atom. As for the total energy: -4.176 eV per atom.

The space group is Fm-3m (No. 225) and the conventional cell measures 6.157, 6.157 and 6.157 Å, with angles of 90.00, 90.00 and 90.00 degrees. The distinct sites, in fractional coordinates, are As at (0.250, 0.250, 0.250), S at (0.000, 0.000, 0.000) and O at (0.000, 0.000, 0.500).

---

The following is a PBE calculation of a relaxed BaAc2Ag3 crystal, from Alexandria.

The calculation puts the volume at 32.342 Å³/atom. For the theoretical density, the calculation gives 7.8 Mg/m³. As for the total energy: -3.360 eV per atom.

The space group is P4/mmm (No. 123) and the conventional cell measures 4.001, 4.001 and 12.123 Å, with angles of 90.00, 90.00 and 90.00 degrees. The distinct sites, in fractional coordinates, are Ba at (0.000, 0.000, 0.000), Ac at (0.000, 0.000, 0.336), Ag at (0.500, 0.500, 0.187) and Ag at (0.500, 0.500, 0.500).

---

The following is a PBE calculation of a relaxed AgPb3 crystal, from Alexandria.

The calculation puts the volume at 28.362 Å³/atom. For the theoretical density, the calculation gives 10.7 Mg/m³. As for the total energy: -3.411 eV per atom.

The space group is Imm2 (No. 44) and the conventional cell measures 3.624, 10.682 and 5.860 Å, with angles of 90.00, 90.00 and 90.00 degrees. The distinct sites, in fractional coordinates, are Ag at (0.000, 0.000, 0.000), Pb at (0.000, 0.282, 0.359) and Pb at (0.000, 0.500, 0.921).

---

The following is a PBE calculation of a relaxed InFe2Ir crystal, from Alexandria.

The calculation puts the volume at 15.060 Å³/atom. For the theoretical density, the calculation gives 11.5 Mg/m³. As for the total energy: -6.978 eV per atom.

The space group is Immm (No. 71) and the conventional cell measures 3.064, 4.413 and 8.911 Å, with angles of 90.00, 90.00 and 90.00 degrees. The distinct sites, in fractional coordinates, are In at (0.000, 0.000, 0.000), Fe at (0.000, 0.500, 0.241) and Ir at (0.000, 0.000, 0.500).

---

Please write out number 4 again, unchanged.
The following is a PBE calculation of a relaxed InFe2Ir crystal, from Alexandria.

The calculation puts the volume at 15.060 Å³/atom. For the theoretical density, the calculation gives 11.5 Mg/m³. As for the total energy: -6.978 eV per atom.

The space group is Immm (No. 71) and the conventional cell measures 3.064, 4.413 and 8.911 Å, with angles of 90.00, 90.00 and 90.00 degrees. The distinct sites, in fractional coordinates, are In at (0.000, 0.000, 0.000), Fe at (0.000, 0.500, 0.241) and Ir at (0.000, 0.000, 0.500).